Entry from the Alexandria database: a relaxed structure of Ba2B5ClO9 (PBE).

a = 6.764 Å, b = 11.735 Å, c = 11.808 Å
α = 90.00°, β = 90.00°, γ = 90.00°
Sites, in units of the cell vectors:
1 O 0.710 0.764 0.185
2 B 0.177 0.287 0.713
3 Cl 0.773 0.500 0.000
4 B 0.129 0.488 0.250
5 B 0.843 0.187 0.728
6 Ba 0.649 0.458 0.745
7 Ba 0.149 0.042 0.245
8 O 0.649 0.793 0.914
9 O 0.210 0.736 0.685
10 O 0.301 0.563 0.788
11 B 0.998 0.297 0.318
12 B 0.343 0.313 0.228
13 O 0.889 0.229 0.232
14 O 0.096 0.603 0.235
15 O 0.801 0.063 0.712
16 B 0.677 0.787 0.787
17 O 0.809 0.249 0.618
18 Ba 0.493 0.768 0.520
19 O 0.979 0.578 0.705
20 O 0.979 0.422 0.295
21 B 0.464 0.773 0.957
22 O 0.479 0.922 0.205
23 B 0.343 0.687 0.772
24 B 0.498 0.797 0.182
25 O 0.389 0.729 0.268
26 Cl 0.273 0.000 0.500
27 B 0.998 0.703 0.682
28 O 0.889 0.771 0.768
29 O 0.053 0.195 0.761
30 B 0.464 0.227 0.043
31 O 0.801 0.937 0.288
32 Ba 0.993 0.268 0.980
33 O 0.149 0.707 0.414
34 O 0.301 0.437 0.212
35 O 0.410 0.773 0.069
36 O 0.389 0.271 0.732
37 O 0.596 0.897 0.735
38 O 0.210 0.264 0.315
39 O 0.149 0.293 0.586
40 O 0.649 0.207 0.086
41 B 0.629 0.012 0.750
42 B 0.964 0.273 0.543
43 Cl 0.013 0.000 0.000
44 Ba 0.149 0.958 0.755
45 Ba 0.649 0.542 0.255
46 O 0.410 0.227 0.931
47 B 0.498 0.203 0.818
48 O 0.309 0.251 0.118
49 O 0.910 0.273 0.431
50 O 0.910 0.727 0.569
51 O 0.809 0.751 0.382
52 B 0.677 0.213 0.213
53 B 0.843 0.813 0.272
54 O 0.096 0.397 0.765
55 O 0.596 0.103 0.265
56 B 0.129 0.512 0.750
57 O 0.479 0.078 0.795
58 O 0.553 0.695 0.739
59 Ba 0.993 0.732 0.020
60 O 0.053 0.805 0.239
61 Cl 0.513 0.500 0.500
62 Ba 0.493 0.232 0.480
63 B 0.629 0.988 0.250
64 O 0.553 0.305 0.261
65 O 0.710 0.236 0.815
66 B 0.964 0.727 0.457
67 B 0.177 0.713 0.287
68 O 0.309 0.749 0.882

Computed properties:
Total DFT energy (no corrections), eV/atom: -7.57
Uncorrected formation energy, meV per atom: -2650